## TaSnAsI2 (GGA-PBE)

Data for TaSnAsI2 after structural relaxation.

Cell lengths 5.3596, 5.3596, 5.7878 Å; angles 90.00, 90.00, 90.00 degrees
Last column: nearest neighbours and their distance in Å.
Fractional positions:
Ta: 0.0000 0.0000 0.0000  4 I 2.68, 2 Sn 2.89
Sn: 0.0000 0.0000 0.5000  2 Ta 2.89
As: 0.5000 0.5000 0.5000  4 Sn 3.79, 8 I 3.94
I: 0.0000 0.5000 0.0000  2 Ta 2.68
I: 0.5000 0.0000 0.0000  2 Ta 2.68

Summary:
Mass density   6.28 g cm⁻³
Uncorrected energy   -20.0 eV per cell
Formation energy (no corrections)   728 meV/atom
Total magnetization   1.878 μB/f.u.